Below is TlPdSN2 after structural relaxation, with properties calculated at the PBE level.

E_form (uncorrected) = 2.02 eV/atom
Offset from the most stable computed form = 780 meV per atom

Unit cell a=4.2013 b=4.2013 c=5.6216 alpha=90.00 beta=90.00 gamma=90.00
Last column: magnetic moment on the atom in μB.
Fractional positions:
N  0.5000  0.0000  0.0000  1.02
N  0.0000  0.5000  0.0000  1.02
Tl  0.0000  0.0000  0.0000  -0.01
S  0.0000  0.0000  0.5000  0.23
Pd  0.5000  0.5000  0.5000  0.34